Arrangement one

Below is a relaxed structure of Nd2Sm2Y5, with properties calculated at the PBE level.

Output
The density of states at the Fermi level comes out at 1.735 states/eV per atom. As for the crystal system: orthorhombic. The value obtained for the density is 5.60 Mg/m³.

```
data_Nd2Sm2Y5
_chemical_formula_sum 'Nd8 Sm8 Y20'
_space_group_name_H-M_alt 'I m a 2'
_space_group_IT_number 46
_space_group_name_Hall 'I 2 -2a'
_cell_length_a 15.083
_cell_length_b 11.895
_cell_length_c 6.838
_cell_angle_alpha 90.00
_cell_angle_beta 90.00
_cell_angle_gamma 90.00
loop_
_atom_site_label
_atom_site_type_symbol
_atom_site_fract_x
_atom_site_fract_y
_atom_site_fract_z
Nd1 Nd 0.127 0.002 0.000
Sm1 Sm 0.000 0.000 0.548
Sm2 Sm 0.250 0.510 0.950
Y1 Y 0.053 0.244 0.355
Y2 Y 0.143 0.734 0.170
Y3 Y 0.250 0.246 0.152
```


Arrangement two

Below is a relaxed structure of Nd2Sm2Y5, with properties calculated at the PBE level.

Output
The density of states at the Fermi level comes out at 1.826 states/eV per atom. As for the crystal system: monoclinic. The value obtained for the density is 5.62 Mg/m³.

```
data_Nd2Sm2Y5
_chemical_formula_sum 'Nd4 Sm4 Y10'
_space_group_name_H-M_alt 'C 1 2/m 1'
_space_group_IT_number 12
_space_group_name_Hall '-C 2y'
_cell_length_a 17.751
_cell_length_b 3.519
_cell_length_c 9.892
_cell_angle_alpha 90.00
_cell_angle_beta 98.80
_cell_angle_gamma 90.00
loop_
_atom_site_label
_atom_site_type_symbol
_atom_site_fract_x
_atom_site_fract_y
_atom_site_fract_z
Nd1 Nd 0.005 0.000 0.188
Sm1 Sm 0.164 0.500 0.726
Y1 Y 0.000 0.500 0.500
Y2 Y 0.171 0.000 0.041
Y3 Y 0.176 0.500 0.369
```


Quick look at relative energies in kJ/mol of atoms: arrangement one 7.1; arrangement two 0.0.